# KTe2OsBr, relaxed, DFT PBE
# - D(E_F): 1.09 states/eV/atom
# - Total magnetic moment: 8.00 Bohr magnetons per cell
# - Formation energy without anion corrections: 934 kJ/mol of formula units
# - Electronic total energy: -2.121 eV/atom
data_KTe2OsBr
_chemical_formula_sum 'K1 Te2 Os1 Br1'
_symmetry_space_group_name_H-M 'P 4/m m m'
_symmetry_Int_Tables_number 123
_symmetry_space_group_name_Hall '-P 4 2'
_cell_length_a 6.395
_cell_length_b 6.395
_cell_length_c 6.102
_cell_angle_alpha 90.00
_cell_angle_beta 90.00
_cell_angle_gamma 90.00
loop_
_atom_site_label
_atom_site_type_symbol
_atom_site_fract_x
_atom_site_fract_y
_atom_site_fract_z
K1 K 0.000 0.000 0.000
Te1 Te 0.000 0.500 0.000
Os1 Os 0.000 0.000 0.500
Br1 Br 0.500 0.500 0.500

# MnCd3Si, relaxed, DFT PBE
# - E above lowest polymorph: 0.81 eV per formula unit
# - D(E_F): 1.18 states/eV/atom
# - Total magnetic moment: 3.19 Bohr magnetons per cell
# - Formation energy without anion corrections: 446 kJ/mol of formula units
# - Electronic total energy: -2.544 eV/atom
data_MnCd3Si
_chemical_formula_sum 'Mn1 Cd3 Si1'
_symmetry_space_group_name_H-M 'P m -3 m'
_symmetry_Int_Tables_number 221
_symmetry_space_group_name_Hall '-P 4 2 3'
_cell_length_a 5.097
_cell_length_b 5.097
_cell_length_c 5.097
_cell_angle_alpha 90.00
_cell_angle_beta 90.00
_cell_angle_gamma 90.00
loop_
_atom_site_label
_atom_site_type_symbol
_atom_site_fract_x
_atom_site_fract_y
_atom_site_fract_z
Mn1 Mn 0.000 0.000 0.000
Cd1 Cd 0.000 0.000 0.500
Si1 Si 0.500 0.500 0.500

# BaReHg2, relaxed, DFT PBE
# - E above lowest polymorph: 0.19 eV per formula unit
# - D(E_F): 0.88 states/eV/atom
# - Total magnetic moment: 0.20 Bohr magnetons per cell
# - Formation energy from the elements: 0.6356 eV per atom
# - Electronic total energy: -3.108 eV/atom
data_BaReHg2
_chemical_formula_sum 'Ba1 Re1 Hg2'
_symmetry_space_group_name_H-M 'P m m m'
_symmetry_Int_Tables_number 47
_symmetry_space_group_name_Hall '-P 2 2'
_cell_length_a 3.114
_cell_length_b 4.218
_cell_length_c 7.369
_cell_angle_alpha 90.00
_cell_angle_beta 90.00
_cell_angle_gamma 90.00
loop_
_atom_site_label
_atom_site_type_symbol
_atom_site_fract_x
_atom_site_fract_y
_atom_site_fract_z
Ba1 Ba 0.000 0.000 0.000
Re1 Re 0.000 0.000 0.500
Hg1 Hg 0.500 0.500 0.307

# ReTc2W, relaxed, DFT PBE
# - E above lowest polymorph: 0.03 eV per formula unit
# - D(E_F): 0.98 states/eV/atom
# - Total magnetic moment: 0.00 Bohr magnetons per cell
# - Formation energy from the elements: 0.1225 eV per atom
# - Electronic total energy: -11.411 eV/atom
data_ReTc2W
_chemical_formula_sum 'Re2 Tc4 W2'
_symmetry_space_group_name_H-M 'C 1 2/m 1'
_symmetry_Int_Tables_number 12
_symmetry_space_group_name_Hall '-C 2y'
_cell_length_a 9.198
_cell_length_b 2.782
_cell_length_c 4.813
_cell_angle_alpha 90.00
_cell_angle_beta 99.84
_cell_angle_gamma 90.00
loop_
_atom_site_label
_atom_site_type_symbol
_atom_site_fract_x
_atom_site_fract_y
_atom_site_fract_z
Re1 Re 0.000 0.000 0.000
Tc1 Tc 0.245 0.500 0.243
W1 W 0.000 0.500 0.500

# Rb3AcCe2Te6, relaxed, DFT PBE
# - D(E_F): 0.97 states/eV/atom
# - Total magnetic moment: 4.00 Bohr magnetons per cell
# - Formation energy without anion corrections: -1606 kJ/mol of formula units
# - Electronic total energy: -4.531 eV/atom
data_Rb3AcCe2Te6
_chemical_formula_sum 'Rb6 Ac2 Ce4 Te12'
_symmetry_space_group_name_H-M 'C 1 2/m 1'
_symmetry_Int_Tables_number 12
_symmetry_space_group_name_Hall '-C 2y'
_cell_length_a 8.248
_cell_length_b 14.286
_cell_length_c 8.979
_cell_angle_alpha 90.00
_cell_angle_beta 107.86
_cell_angle_gamma 90.00
loop_
_atom_site_label
_atom_site_type_symbol
_atom_site_fract_x
_atom_site_fract_y
_atom_site_fract_z
Rb1 Rb 0.000 0.000 0.000
Rb2 Rb 0.000 0.336 0.000
Ac1 Ac 0.000 0.500 0.500
Ce1 Ce 0.000 0.167 0.500
Te1 Te 0.226 0.000 0.706
Te2 Te 0.241 0.328 0.707

# CaScAl, relaxed, DFT PBE
# - E above lowest polymorph: 0.02 eV per formula unit
# - D(E_F): 1.01 states/eV/atom
# - Total magnetic moment: 0.00 Bohr magnetons per cell
# - Formation energy from the elements: -0.1764 eV per atom
# - Electronic total energy: -4.202 eV/atom
data_CaScAl
_chemical_formula_sum 'Ca4 Sc4 Al4'
_symmetry_space_group_name_H-M 'I m m a'
_symmetry_Int_Tables_number 74
_symmetry_space_group_name_Hall '-I 2b 2'
_cell_length_a 6.136
_cell_length_b 6.188
_cell_length_c 8.143
_cell_angle_alpha 90.00
_cell_angle_beta 90.00
_cell_angle_gamma 90.00
loop_
_atom_site_label
_atom_site_type_symbol
_atom_site_fract_x
_atom_site_fract_y
_atom_site_fract_z
Ca1 Ca 0.000 0.250 0.133
Sc1 Sc 0.250 0.250 0.750
Al1 Al 0.000 0.000 0.500